Compound: AgSbOsI2
Source: Alexandria via LeMat-Bulk
Functional: PBE-GGA
Structure: relaxed

a b c (Å): 5.621 5.621 4.986
angles (deg): 90.00 90.00 90.00
Fractional coordinates of all 5 atoms:
I 0.000 0.500 0.000
I 0.500 0.000 0.000
Ag 0.500 0.500 0.500
Sb 0.000 0.000 0.500
Os 0.000 0.000 0.000

Results
Spin magnetization, μB per atom: 0.00
Energy, Ry/atom: -0.256
Polymorph energy (0 for the lowest one), meV/atom: 0
E_form (uncorrected), eV per atom: 0.776